Run 1
# Ba3Tc PBE relaxed
data_Ba3Tc
_chemical_formula_sum 'Ba3 Tc1'
_space_group_name_H-M_alt 'P -6 m 2'
_space_group_IT_number 187
_space_group_name_Hall 'P -6 2'
_cell_length_a 4.2511
_cell_length_b 4.2511
_cell_length_c 11.9642
_cell_angle_alpha 90.00
_cell_angle_beta 90.00
_cell_angle_gamma 120.00
loop_
_atom_site_label
_atom_site_fract_x
_atom_site_fract_y
_atom_site_fract_z
Ba1 0.0000 0.0000 0.0000
Ba2 0.3333 0.6667 0.3243
Tc1 0.0000 0.0000 0.5000
# Crystal system: hexagonal
# Fermi-level density of states in states/eV per atom: 2.0036



Run 2
# Ba3Tc PBE relaxed
data_Ba3Tc
_chemical_formula_sum 'Ba3 Tc1'
_space_group_name_H-M_alt 'P 4/m m m'
_space_group_IT_number 123
_space_group_name_Hall '-P 4 2'
_cell_length_a 3.918
_cell_length_b 3.918
_cell_length_c 11.014
_cell_angle_alpha 90.00
_cell_angle_beta 90.00
_cell_angle_gamma 90.00
loop_
_atom_site_label
_atom_site_fract_x
_atom_site_fract_y
_atom_site_fract_z
Ba1 0.000 0.000 0.000
Ba2 0.500 0.500 0.327
Tc1 0.000 0.000 0.500
# Crystal system: tetragonal
# Fermi-level density of states in states/eV per atom: 1.7088



Run 3
# Ba3Tc PBE relaxed
data_Ba3Tc
_chemical_formula_sum 'Ba9 Tc3'
_space_group_name_H-M_alt 'R -3 m'
_space_group_IT_number 166
_space_group_name_Hall '-R 3 2"'
_cell_length_a 4.4063
_cell_length_b 4.4063
_cell_length_c 35.1770
_cell_angle_alpha 90.00
_cell_angle_beta 90.00
_cell_angle_gamma 120.00
loop_
_atom_site_label
_atom_site_fract_x
_atom_site_fract_y
_atom_site_fract_z
Ba1 0.0000 0.0000 0.0000
Ba2 0.0000 0.0000 0.2229
Tc1 0.0000 0.0000 0.5000
# Crystal system: trigonal
# Fermi-level density of states in states/eV per atom: 1.8040



Run 4
# Ba3Tc PBE relaxed
data_Ba3Tc
_chemical_formula_sum 'Ba3 Tc1'
_space_group_name_H-M_alt 'P m -3 m'
_space_group_IT_number 221
_space_group_name_Hall '-P 4 2 3'
_cell_length_a 5.410
_cell_length_b 5.410
_cell_length_c 5.410
_cell_angle_alpha 90.00
_cell_angle_beta 90.00
_cell_angle_gamma 90.00
loop_
_atom_site_label
_atom_site_fract_x
_atom_site_fract_y
_atom_site_fract_z
Ba1 0.000 0.000 0.500
Tc1 0.500 0.500 0.500
# Crystal system: cubic
# Fermi-level density of states in states/eV per atom: 1.5116



It comes down to run 2, which is 79 meV per atom more stable than the next structure.



Run 1
# Ba3Tc PBE relaxed
data_Ba3Tc
_chemical_formula_sum 'Ba6 Tc2'
_space_group_name_H-M_alt 'I m m m'
_space_group_IT_number 71
_space_group_name_Hall '-I 2 2'
_cell_length_a 3.829
_cell_length_b 6.044
_cell_length_c 15.137
_cell_angle_alpha 90.00
_cell_angle_beta 90.00
_cell_angle_gamma 90.00
loop_
_atom_site_label
_atom_site_fract_x
_atom_site_fract_y
_atom_site_fract_z
Ba1 0.000 0.000 0.000
Ba2 0.000 0.500 0.165
Tc1 0.000 0.000 0.500
# Crystal system: orthorhombic
# Fermi-level density of states in states/eV per atom: 1.6040



Run 2
# Ba3Tc PBE relaxed
data_Ba3Tc
_chemical_formula_sum 'Ba6 Tc2'
_space_group_name_H-M_alt 'I 4/m m m'
_space_group_IT_number 139
_space_group_name_Hall '-I 4 2'
_cell_length_a 5.622
_cell_length_b 5.622
_cell_length_c 9.634
_cell_angle_alpha 90.00
_cell_angle_beta 90.00
_cell_angle_gamma 90.00
loop_
_atom_site_label
_atom_site_fract_x
_atom_site_fract_y
_atom_site_fract_z
Ba1 0.000 0.000 0.000
Ba2 0.000 0.500 0.250
Tc1 0.000 0.000 0.500
# Crystal system: tetragonal
# Fermi-level density of states in states/eV per atom: 1.4949



It comes down to run 1, which is 156 meV per atom more stable than the next structure.



Run 1
# Ba2Tc PBE relaxed
data_Ba2Tc
_chemical_formula_sum 'Ba4 Tc2'
_space_group_name_H-M_alt 'P 63/m m c'
_space_group_IT_number 194
_space_group_name_Hall '-P 6c 2c'
_cell_length_a 5.5673
_cell_length_b 5.5673
_cell_length_c 7.7517
_cell_angle_alpha 90.00
_cell_angle_beta 90.00
_cell_angle_gamma 120.00
loop_
_atom_site_label
_atom_site_fract_x
_atom_site_fract_y
_atom_site_fract_z
Ba1 0.0000 0.0000 0.0000
Ba2 0.3333 0.6667 0.2500
Tc1 0.3333 0.6667 0.7500
# Crystal system: hexagonal
# Fermi-level density of states in states/eV per atom: 1.6730



Run 2
# Ba2Tc PBE relaxed
data_Ba2Tc
_chemical_formula_sum 'Ba6 Tc3'
_space_group_name_H-M_alt 'P -6 2 m'
_space_group_IT_number 189
_space_group_name_Hall 'P -6 -2'
_cell_length_a 8.7154
_cell_length_b 8.7154
_cell_length_c 4.8937
_cell_angle_alpha 90.00
_cell_angle_beta 90.00
_cell_angle_gamma 120.00
loop_
_atom_site_label
_atom_site_fract_x
_atom_site_fract_y
_atom_site_fract_z
Ba1 0.0000 0.2577 0.0000
Ba2 0.0000 0.5935 0.5000
Tc1 0.0000 0.0000 0.5000
Tc2 0.3333 0.6667 0.0000
# Crystal system: hexagonal
# Fermi-level density of states in states/eV per atom: 1.8892



It comes down to run 2, which is 38 meV per atom more stable than the next structure.



Run 1
# Ba2Tc PBE relaxed
data_Ba2Tc
_chemical_formula_sum 'Ba8 Tc4'
_space_group_name_H-M_alt 'C 1 2/m 1'
_space_group_IT_number 12
_cell_length_a 18.302
_cell_length_b 3.765
_cell_length_c 7.230
_cell_angle_alpha 90.00
_cell_angle_beta 109.53
_cell_angle_gamma 90.00
loop_
_space_group_symop_operation_xyz
'x,y,z'
'-x,-y,-z'
'-x,y,-z'
'x,-y,z'
'x+1/2,y+1/2,z'
'-x+1/2,-y+1/2,-z'
'-x+1/2,y+1/2,-z'
'x+1/2,-y+1/2,z'
loop_
_atom_site_label
_atom_site_fract_x
_atom_site_fract_y
_atom_site_fract_z
Ba1 0.104 0.000 0.086
Ba2 0.150 0.000 0.628
Tc1 0.000 0.500 0.349
# Crystal system: monoclinic
# Fermi-level density of states in states/eV per atom: 1.0208



Run 2
# Ba2Tc PBE relaxed
data_Ba2Tc
_chemical_formula_sum 'Ba8 Tc4'
_space_group_name_H-M_alt 'C 1 2/m 1'
_space_group_IT_number 12
_cell_length_a 17.539
_cell_length_b 4.262
_cell_length_c 7.220
_cell_angle_alpha 90.00
_cell_angle_beta 100.69
_cell_angle_gamma 90.00
loop_
_space_group_symop_operation_xyz
'x,y,z'
'-x,-y,-z'
'-x,y,-z'
'x,-y,z'
'x+1/2,y+1/2,z'
'-x+1/2,-y+1/2,-z'
'-x+1/2,y+1/2,-z'
'x+1/2,-y+1/2,z'
loop_
_atom_site_label
_atom_site_fract_x
_atom_site_fract_y
_atom_site_fract_z
Ba1 0.090 0.000 0.290
Ba2 0.162 0.500 0.811
Tc1 0.250 0.000 0.576
# Crystal system: monoclinic
# Fermi-level density of states in states/eV per atom: 1.2719



It comes down to run 2, which is 209 meV per atom more stable than the next structure.